# 1
# YPuPb (PBE, relaxed)
data_YPuPb
_cell_length_a 5.6423
_cell_length_b 4.0503
_cell_length_c 14.4161
_cell_angle_alpha 90.00
_cell_angle_beta 99.99
_cell_angle_gamma 90.00
_space_group_name_H-M_alt 'C 1 2/m 1'
_space_group_IT_number 12
_space_group_name_Hall '-C 2y'
loop_
_atom_site_label
_atom_site_type_symbol
_atom_site_fract_x
_atom_site_fract_y
_atom_site_fract_z
Y1 Y 0.1495 0.0000 0.2855
Pu1 Pu 0.1699 0.5000 0.4642
Pb1 Pb 0.0043 0.5000 0.1064
# - formation enthalpy at 0 K (eV per atom) = -0.03
# - VASP energy (eV/atom) = -8.20
# - total magnetic moment (μB per formula unit) = 0.00
# - crystal system = monoclinic
# - E above lowest polymorph (meV/atom) = 288

***

# 2
# YPuPb (PBE, relaxed)
data_YPuPb
_cell_length_a 5.5494
_cell_length_b 5.5494
_cell_length_c 6.3547
_cell_angle_alpha 90.00
_cell_angle_beta 90.00
_cell_angle_gamma 120.00
_space_group_name_H-M_alt 'P 63/m m c'
_space_group_IT_number 194
_space_group_name_Hall '-P 6c 2c'
loop_
_atom_site_label
_atom_site_type_symbol
_atom_site_fract_x
_atom_site_fract_y
_atom_site_fract_z
Y1 Y 0.3333 0.6667 0.2500
Pu1 Pu 0.0000 0.0000 0.0000
Pb1 Pb 0.3333 0.6667 0.7500
# - formation enthalpy at 0 K (eV per atom) = -0.32
# - VASP energy (eV/atom) = -8.49
# - total magnetic moment (μB per formula unit) = 6.81
# - crystal system = hexagonal
# - E above lowest polymorph (meV/atom) = 0

***

# 3
# Y2PuPb9 (PBE, relaxed)
data_Y2PuPb9
_cell_length_a 4.8808
_cell_length_b 4.8808
_cell_length_c 14.6044
_cell_angle_alpha 90.00
_cell_angle_beta 90.00
_cell_angle_gamma 90.00
_space_group_name_H-M_alt 'P 4/m m m'
_space_group_IT_number 123
_space_group_name_Hall '-P 4 2'
loop_
_atom_site_label
_atom_site_type_symbol
_atom_site_fract_x
_atom_site_fract_y
_atom_site_fract_z
Y1 Y 0.0000 0.0000 0.1705
Pu1 Pu 0.0000 0.0000 0.5000
Pb1 Pb 0.0000 0.5000 0.0000
Pb2 Pb 0.0000 0.5000 0.3342
Pb3 Pb 0.5000 0.5000 0.1670
Pb4 Pb 0.5000 0.5000 0.5000
# - formation enthalpy at 0 K (eV per atom) = -0.25
# - VASP energy (eV/atom) = -5.31
# - total magnetic moment (μB per formula unit) = 5.86
# - crystal system = tetragonal

***

# 4
# Y5PuPb4 (PBE, relaxed)
data_Y5PuPb4
_cell_length_a 18.1014
_cell_length_b 5.0875
_cell_length_c 6.5042
_cell_angle_alpha 90.00
_cell_angle_beta 93.18
_cell_angle_gamma 90.00
_space_group_name_H-M_alt 'C 1 2/m 1'
_space_group_IT_number 12
_space_group_name_Hall '-C 2y'
loop_
_atom_site_label
_atom_site_type_symbol
_atom_site_fract_x
_atom_site_fract_y
_atom_site_fract_z
Y1 Y 0.0000 0.0000 0.0000
Y2 Y 0.1061 0.5000 0.2866
Y3 Y 0.1899 0.0000 0.7725
Pu1 Pu 0.0000 0.0000 0.5000
Pb1 Pb 0.0766 0.5000 0.7741
Pb2 Pb 0.1975 0.0000 0.2694
# - formation enthalpy at 0 K (eV per atom) = -0.42
# - VASP energy (eV/atom) = -6.57
# - total magnetic moment (μB per formula unit) = 6.80
# - crystal system = monoclinic

***

# 5
# PuZn4Pb (PBE, relaxed)
data_PuZn4Pb
_cell_length_a 7.8634
_cell_length_b 7.8634
_cell_length_c 7.8634
_cell_angle_alpha 90.00
_cell_angle_beta 90.00
_cell_angle_gamma 90.00
_space_group_name_H-M_alt 'F -4 3 m'
_space_group_IT_number 216
_space_group_name_Hall 'F -4 2 3'
loop_
_atom_site_label
_atom_site_type_symbol
_atom_site_fract_x
_atom_site_fract_y
_atom_site_fract_z
Pu1 Pu 0.0000 0.0000 0.0000
Zn1 Zn 0.1256 0.1256 0.3744
Pb1 Pb 0.2500 0.2500 0.7500
# - formation enthalpy at 0 K (eV per atom) = 0.00
# - VASP energy (eV/atom) = -3.85
# - total magnetic moment (μB per formula unit) = 5.71
# - crystal system = cubic

***

# 6
# Pu2ZnPb (PBE, relaxed)
data_Pu2ZnPb
_cell_length_a 4.5244
_cell_length_b 4.5244
_cell_length_c 4.7854
_cell_angle_alpha 90.00
_cell_angle_beta 90.00
_cell_angle_gamma 90.00
_space_group_name_H-M_alt 'P 4/m m m'
_space_group_IT_number 123
_space_group_name_Hall '-P 4 2'
loop_
_atom_site_label
_atom_site_type_symbol
_atom_site_fract_x
_atom_site_fract_y
_atom_site_fract_z
Pu1 Pu 0.0000 0.5000 0.0000
Zn1 Zn 0.0000 0.0000 0.5000
Pb1 Pb 0.5000 0.5000 0.5000
# - formation enthalpy at 0 K (eV per atom) = -0.09
# - VASP energy (eV/atom) = -8.50
# - total magnetic moment (μB per formula unit) = 11.66
# - crystal system = tetragonal

***

# 7
# PuZnPb2 (PBE, relaxed)
data_PuZnPb2
_cell_length_a 4.7434
_cell_length_b 4.7434
_cell_length_c 4.5356
_cell_angle_alpha 90.00
_cell_angle_beta 90.00
_cell_angle_gamma 90.00
_space_group_name_H-M_alt 'P 4/m m m'
_space_group_IT_number 123
_space_group_name_Hall '-P 4 2'
loop_
_atom_site_label
_atom_site_type_symbol
_atom_site_fract_x
_atom_site_fract_y
_atom_site_fract_z
Pu1 Pu 0.0000 0.0000 0.0000
Zn1 Zn 0.5000 0.5000 0.0000
Pb1 Pb 0.0000 0.5000 0.5000
# - formation enthalpy at 0 K (eV per atom) = -0.10
# - VASP energy (eV/atom) = -5.86
# - total magnetic moment (μB per formula unit) = 5.62
# - crystal system = tetragonal

***

# 8
# PuZnPb2 (PBE, relaxed)
data_PuZnPb2
_cell_length_a 3.7974
_cell_length_b 3.7974
_cell_length_c 7.2169
_cell_angle_alpha 90.00
_cell_angle_beta 90.00
_cell_angle_gamma 90.00
_space_group_name_H-M_alt 'P 4/m m m'
_space_group_IT_number 123
_space_group_name_Hall '-P 4 2'
loop_
_atom_site_label
_atom_site_type_symbol
_atom_site_fract_x
_atom_site_fract_y
_atom_site_fract_z
Pu1 Pu 0.0000 0.0000 0.0000
Zn1 Zn 0.0000 0.0000 0.5000
Pb1 Pb 0.5000 0.5000 0.2835
# - formation enthalpy at 0 K (eV per atom) = 0.05
# - VASP energy (eV/atom) = -5.71
# - total magnetic moment (μB per formula unit) = 6.15
# - crystal system = tetragonal

***

# 9
# Pu2ZnPb (PBE, relaxed)
data_Pu2ZnPb
_cell_length_a 7.4800
_cell_length_b 7.4800
_cell_length_c 7.4800
_cell_angle_alpha 90.00
_cell_angle_beta 90.00
_cell_angle_gamma 90.00
_space_group_name_H-M_alt 'F m -3 m'
_space_group_IT_number 225
_space_group_name_Hall '-F 4 2 3'
loop_
_atom_site_label
_atom_site_type_symbol
_atom_site_fract_x
_atom_site_fract_y
_atom_site_fract_z
Pu1 Pu 0.2500 0.2500 0.2500
Zn1 Zn 0.0000 0.0000 0.0000
Pb1 Pb 0.0000 0.0000 0.5000
# - formation enthalpy at 0 K (eV per atom) = -0.05
# - VASP energy (eV/atom) = -8.46
# - total magnetic moment (μB per formula unit) = 12.05
# - crystal system = cubic

***

# 10
# PuZrPb (PBE, relaxed)
data_PuZrPb
_cell_length_a 4.7970
_cell_length_b 3.4766
_cell_length_c 8.5614
_cell_angle_alpha 90.00
_cell_angle_beta 92.92
_cell_angle_gamma 90.00
_space_group_name_H-M_alt 'P 1 21/m 1'
_space_group_IT_number 11
_space_group_name_Hall '-P 2yb'
loop_
_atom_site_label
_atom_site_type_symbol
_atom_site_fract_x
_atom_site_fract_y
_atom_site_fract_z
Pu1 Pu 0.1513 0.2500 0.0300
Zr1 Zr 0.1844 0.7500 0.3723
Pb1 Pb 0.3224 0.7500 0.7237
# - formation enthalpy at 0 K (eV per atom) = 0.04
# - VASP energy (eV/atom) = -8.83
# - total magnetic moment (μB per formula unit) = 0.33
# - crystal system = monoclinic
# - E above lowest polymorph (meV/atom) = 16

***

# 11
# PuZrPb2 (PBE, relaxed)
data_PuZrPb2
_cell_length_a 4.8412
_cell_length_b 4.8412
_cell_length_c 4.4508
_cell_angle_alpha 90.00
_cell_angle_beta 90.00
_cell_angle_gamma 90.00
_space_group_name_H-M_alt 'P 4/m m m'
_space_group_IT_number 123
_space_group_name_Hall '-P 4 2'
loop_
_atom_site_label
_atom_site_type_symbol
_atom_site_fract_x
_atom_site_fract_y
_atom_site_fract_z
Pu1 Pu 0.0000 0.0000 0.0000
Zr1 Zr 0.5000 0.5000 0.0000
Pb1 Pb 0.0000 0.5000 0.5000
# - formation enthalpy at 0 K (eV per atom) = -0.04
# - VASP energy (eV/atom) = -7.62
# - total magnetic moment (μB per formula unit) = 6.45
# - crystal system = tetragonal

***

# 12
# PuZr2Pb (PBE, relaxed)
data_PuZr2Pb
_cell_length_a 3.3443
_cell_length_b 3.3443
_cell_length_c 30.5665
_cell_angle_alpha 90.00
_cell_angle_beta 90.00
_cell_angle_gamma 120.00
_space_group_name_H-M_alt 'R -3 m'
_space_group_IT_number 166
_space_group_name_Hall '-R 3 2"'
loop_
_atom_site_label
_atom_site_type_symbol
_atom_site_fract_x
_atom_site_fract_y
_atom_site_fract_z
Pu1 Pu 0.0000 0.0000 0.0000
Zr1 Zr 0.0000 0.0000 0.2503
Pb1 Pb 0.0000 0.0000 0.5000
# - formation enthalpy at 0 K (eV per atom) = 0.05
# - VASP energy (eV/atom) = -8.73
# - total magnetic moment (μB per formula unit) = 5.51
# - crystal system = trigonal
# - E above lowest polymorph (meV/atom) = 144

***

# 13
# PuZrPb2 (PBE, relaxed)
data_PuZrPb2
_cell_length_a 7.4902
_cell_length_b 7.4902
_cell_length_c 7.4902
_cell_angle_alpha 90.00
_cell_angle_beta 90.00
_cell_angle_gamma 90.00
_space_group_name_H-M_alt 'F m -3 m'
_space_group_IT_number 225
_space_group_name_Hall '-F 4 2 3'
loop_
_atom_site_label
_atom_site_type_symbol
_atom_site_fract_x
_atom_site_fract_y
_atom_site_fract_z
Pu1 Pu 0.0000 0.0000 0.0000
Zr1 Zr 0.0000 0.0000 0.5000
Pb1 Pb 0.2500 0.2500 0.2500
# - formation enthalpy at 0 K (eV per atom) = -0.02
# - VASP energy (eV/atom) = -7.59
# - total magnetic moment (μB per formula unit) = 6.62
# - crystal system = cubic

***

# 14
# Pu2ZrPb (PBE, relaxed)
data_Pu2ZrPb
_cell_length_a 4.4473
_cell_length_b 4.4473
_cell_length_c 5.0231
_cell_angle_alpha 90.00
_cell_angle_beta 90.00
_cell_angle_gamma 90.00
_space_group_name_H-M_alt 'P 4/m m m'
_space_group_IT_number 123
_space_group_name_Hall '-P 4 2'
loop_
_atom_site_label
_atom_site_type_symbol
_atom_site_fract_x
_atom_site_fract_y
_atom_site_fract_z
Pu1 Pu 0.0000 0.5000 0.0000
Zr1 Zr 0.0000 0.0000 0.5000
Pb1 Pb 0.5000 0.5000 0.5000
# - formation enthalpy at 0 K (eV per atom) = -0.07
# - VASP energy (eV/atom) = -10.30
# - total magnetic moment (μB per formula unit) = 11.30
# - crystal system = tetragonal
# - E above lowest polymorph (meV/atom) = 0